# 1
Below is a geometry-optimized Nd3Ge4Pd7 structure, with properties calculated at the PBE level.

Results
Space-group type ... C2/m

Cell: 8.2774 8.2774 9.7387 Å, 124.37 124.37 29.16°
Element x y z (fractional)
Nd1 0.0000 0.0000 0.0000
Nd2 0.3242 0.3242 0.3273
Nd3 0.6758 0.6758 0.6727
Ge1 0.1087 0.1087 0.8262
Ge2 0.3366 0.3366 0.7321
Ge3 0.6634 0.6634 0.2679
Ge4 0.8913 0.8913 0.1738
Pd1 0.0000 0.0000 0.5000
Pd2 0.1689 0.1689 0.4253
Pd3 0.3071 0.3071 0.9682
Pd4 0.4907 0.4907 0.7174
Pd5 0.5093 0.5093 0.2826
Pd6 0.6929 0.6929 0.0318
Pd7 0.8311 0.8311 0.5747

***

# 2
Below is a geometry-optimized NdGePd structure, with properties calculated at the PBE level.

Results
Space-group type ... P4/nmm

Cell: 4.3769 4.3769 6.8836 Å, 90.00 90.00 90.00°
Element x y z (fractional)
Nd1 0.2500 0.2500 0.1824
Nd2 0.7500 0.7500 0.8176
Ge1 0.2500 0.2500 0.7173
Ge2 0.7500 0.7500 0.2827
Pd1 0.2500 0.7500 0.5000
Pd2 0.7500 0.2500 0.5000

***

# 3
Below is a geometry-optimized Nd4Ge2Pd5 structure, with properties calculated at the PBE level.

Results
Space-group type ... P2/m

Cell: 7.0405 4.1318 8.3979 Å, 90.00 91.85 90.00°
Element x y z (fractional)
Nd1 0.2374 0.0000 0.3803
Nd2 0.2555 0.0000 0.8847
Nd3 0.7445 0.0000 0.1153
Nd4 0.7626 0.0000 0.6197
Ge1 0.0854 0.5000 0.1330
Ge2 0.9146 0.5000 0.8670
Pd1 0.1408 0.5000 0.6342
Pd2 0.4437 0.5000 0.1665
Pd3 0.5000 0.5000 0.5000
Pd4 0.5563 0.5000 0.8335
Pd5 0.8592 0.5000 0.3658

***

# 4
Below is a geometry-optimized PrNdGe2Pd5 structure, with properties calculated at the PBE level.

Results
Space-group type ... P4/mmm

Cell: 4.3239 4.3239 9.1601 Å, 90.00 90.00 90.00°
Element x y z (fractional)
Pr1 0.0000 0.0000 0.0000
Nd1 0.0000 0.0000 0.5000
Ge1 0.5000 0.5000 0.1374
Ge2 0.5000 0.5000 0.8626
Pd1 0.0000 0.5000 0.2746
Pd2 0.0000 0.5000 0.7254
Pd3 0.5000 0.0000 0.2746
Pd4 0.5000 0.0000 0.7254
Pd5 0.5000 0.5000 0.5000

***

# 5
Below is a geometry-optimized PrNdGePd structure, with properties calculated at the PBE level.

Results
Energy relative to the lowest polymorph listed for this composition ... 0.096 eV per atom
Space-group type ... F-43m

Cell: 7.3591 7.3591 7.3591 Å, 90.00 90.00 90.00°
Element x y z (fractional)
Pr1 0.0000 0.0000 0.0000
Pr2 0.0000 0.5000 0.5000
Pr3 0.5000 0.0000 0.5000
Pr4 0.5000 0.5000 0.0000
Nd1 0.0000 0.0000 0.5000
Nd2 0.0000 0.5000 0.0000
Nd3 0.5000 0.0000 0.0000
Nd4 0.5000 0.5000 0.5000
Ge1 0.2500 0.2500 0.2500
Ge2 0.2500 0.7500 0.7500
Ge3 0.7500 0.2500 0.7500
Ge4 0.7500 0.7500 0.2500
Pd1 0.2500 0.2500 0.7500
Pd2 0.2500 0.7500 0.2500
Pd3 0.7500 0.2500 0.2500
Pd4 0.7500 0.7500 0.7500

***

# 6
Below is a geometry-optimized PrNdGe2Pd2 structure, with properties calculated at the PBE level.

Results
Space-group type ... P-3m1

Cell: 4.3507 4.3507 8.2155 Å, 90.00 90.00 120.00°
Element x y z (fractional)
Pr1 0.0000 0.0000 0.0000
Nd1 0.0000 0.0000 0.5000
Ge1 0.3333 0.6667 0.2497
Ge2 0.6667 0.3333 0.7503
Pd1 0.3333 0.6667 0.7440
Pd2 0.6667 0.3333 0.2560

***

| no. | DFT formation energy (eV/atom) |
| --- | --- |
| 1 | -0.824 |
| 2 | -0.810 |
| 3 | -0.817 |
| 4 | -0.806 |
| 5 | -0.708 |
| 6 | -0.889 |